Computed, not measured: NiSbP2O after structural relaxation at the GGA+U level of DFT.

CIF file:
```
data_NiSbP2O
_chemical_formula_sum 'Ni1 Sb1 P2 O1'
_cell_length_a 4.660
_cell_length_b 4.660
_cell_length_c 3.577
_cell_angle_alpha 90.00
_cell_angle_beta 90.00
_cell_angle_gamma 90.00
_symmetry_space_group_name_H-M 'P 4/m m m'
_symmetry_Int_Tables_number 123
_symmetry_space_group_name_Hall '-P 4 2'
loop_
_atom_site_label
_atom_site_type_symbol
_atom_site_fract_x
_atom_site_fract_y
_atom_site_fract_z
Ni1 Ni 0.000 0.000 0.000
Sb1 Sb 0.500 0.500 0.500
P1 P 0.000 0.500 0.000
O1 O 0.000 0.000 0.500
```

The value obtained for the energy above the most stable polymorph in this dataset is 0 meV per atom. As for the raw total energy: -20.693 eV per formula unit. As for the density of states at the Fermi level: 4.3 states/eV/cell.